1.
Computed, not measured: an optimized crystal structure of Pr2MgTe at the GGA-PBE level of DFT.

* density: 6.06 g/cm3
* uncorrected formation energy: -0.689 eV per atom

a = 4.0637 Å, b = 4.0637 Å, c = 7.1962 Å
α = 90.00°, β = 90.00°, γ = 90.00°
Last column: nearest neighbours and their distance in Å.
Space group P4/mmm (No. 123)
One atom of each set of equivalent atoms:
Pr 0.0000 0.0000 0.2466  4 Te 3.38, 4 Mg 3.40, 2 Pr 3.55-3.65
Mg 0.5000 0.5000 0.5000  8 Pr 3.40, 2 Te 3.60
Te 0.5000 0.5000 0.0000  8 Pr 3.38, 2 Mg 3.60

***

2.
Computed, not measured: an optimized crystal structure of NdAl2SiIr at the GGA-PBE level of DFT.

* density: 7.65 g/cm3
* uncorrected formation energy: -0.743 eV per atom

a = 3.9816 Å, b = 4.0906 Å, c = 11.1520 Å
α = 90.00°, β = 90.00°, γ = 90.00°
Last column: nearest neighbours and their distance in Å.
Space group Imm2 (No. 44)
One atom of each set of equivalent atoms:
Nd 0.0000 0.0000 0.0000  4 Si 3.10, 6 Al 3.15-3.40, 2 Ir 3.32
Al 0.0000 0.0000 0.3815  1 Si 2.52, 2 Ir 2.55, 2 Al 2.56
Al 0.0000 0.5000 0.2439  2 Si 2.51, 2 Al 2.56
Si 0.0000 0.0000 0.6074  3 Al 2.51-2.52, 2 Ir 2.51
Ir 0.0000 0.5000 0.7382  2 Si 2.51, 2 Al 2.55

***

3.
Computed, not measured: an optimized crystal structure of ScB3Ir at the GGA-PBE level of DFT.

* formation energy: 0.51 eV per atom
* density: 6.68 g/cm3

a = 4.0622 Å, b = 4.0622 Å, c = 4.0622 Å
α = 90.00°, β = 90.00°, γ = 90.00°
Last column: nearest neighbours and their distance in Å.
Space group Pm-3m (No. 221)
One atom of each set of equivalent atoms:
Sc 0.0000 0.0000 0.0000  12 B 2.87
B 0.0000 0.5000 0.5000  2 Ir 2.03
Ir 0.5000 0.5000 0.5000  6 B 2.03

***

4.
Computed, not measured: an optimized crystal structure of ZnCr2Ir2 at the GGA-PBE level of DFT.

* formation energy: 0.23 eV per atom
* density: 12.05 g/cm3

a = 3.6383 Å, b = 3.6383 Å, c = 11.5264 Å
α = 90.00°, β = 90.00°, γ = 90.00°
Last column: nearest neighbours and their distance in Å.
Space group I4/mmm (No. 139)
One atom of each set of equivalent atoms:
Zn 0.0000 0.0000 0.0000  8 Ir 2.86
Cr 0.0000 0.5000 0.2500  4 Ir 2.44, 4 Cr 2.57
Ir 0.0000 0.0000 0.3915  4 Cr 2.44, 1 Ir 2.50